Entry from the Alexandria database: a relaxed LaInAgIr crystal (PBE).

Structure (POSCAR):
```
LaInAgIr
1.0
0.000 3.526 3.526
3.526 0.000 3.526
3.526 3.526 0.000
La In Ag Ir
1 1 1 1
Cartesian
0.000 0.000 0.000 La
3.526 3.526 3.526 In
1.763 1.763 1.763 Ag
5.289 5.289 5.289 Ir
```

DFT formation energy ... -1.2 eV/f.u.
Total magnetic moment ... 0.00 μB per formula unit